Record 1
Compound: P2Br
Source: Alexandria via LeMat-Bulk
Functional: GGA-PBE
Structure: optimized geometry

Its magnetic moment is 0.00 μB per atom. For the density of states at the Fermi level, the calculation gives 5.48 states/eV per cell. The formation energy (no corrections) comes out at 0.314 eV per atom. The total energy comes out at -3.85 eV per atom.

a = 3.3488 Å, b = 21.2524 Å, c = 5.2045 Å
α = 90.00°, β = 90.00°, γ = 90.00°
Space group Cmcm (No. 63)
Unique sites:
P 0.0000 0.0889 0.2500 [4 per cell]
P 0.0000 0.3431 0.7500 [4 per cell]
Br 0.0000 0.3720 0.2500 [4 per cell]


Record 2
Compound: AuC2
Source: Alexandria via LeMat-Bulk
Functional: GGA-PBE
Structure: optimized geometry

As for the formation enthalpy at 0 K: 2.793 eV per atom. Its magnetic moment is 0.00 μB per atom. For the density of states at the Fermi level, the calculation gives 5.00 states/eV per cell. The total energy comes out at -4.45 eV per atom.

a = 4.7878 Å, b = 4.7878 Å, c = 3.3806 Å
α = 90.00°, β = 90.00°, γ = 90.00°
Space group P4_2/mnm (No. 136)
Unique sites:
Au 0.0000 0.0000 0.0000 [2 per cell]
C 0.1921 0.1921 0.5000 [4 per cell]


Record 3
Compound: Nd5Y2
Source: Alexandria via LeMat-Bulk
Functional: GGA-PBE
Structure: optimized geometry

As for the formation enthalpy at 0 K: 0.193 eV per atom. Its magnetic moment is 0.00 μB per atom. For the density of states at the Fermi level, the calculation gives 22.49 states/eV per cell. The total energy comes out at -5.06 eV per atom.

a = 16.6890 Å, b = 3.5731 Å, c = 11.4700 Å
α = 90.00°, β = 132.94°, γ = 90.00°
Space group C2/m (No. 12)
Unique sites:
Nd 0.0000 0.0000 0.0000 [2 per cell]
Nd 0.1335 0.5000 0.9069 [4 per cell]
Nd 0.1612 0.0000 0.6606 [4 per cell]
Y 0.1352 0.5000 0.3636 [4 per cell]


Record 4
Compound: SrZn2Ga2
Source: Alexandria via LeMat-Bulk
Functional: GGA-PBE
Structure: optimized geometry

As for the formation enthalpy at 0 K: -0.069 eV per atom. Its magnetic moment is 0.00 μB per atom. For the density of states at the Fermi level, the calculation gives 4.99 states/eV per cell. The total energy comes out at -2.13 eV per atom.

a = 8.0541 Å, b = 8.0541 Å, c = 3.2916 Å
α = 90.00°, β = 90.00°, γ = 90.00°
Space group P4/mbm (No. 127)
Unique sites:
Sr 0.0000 0.0000 0.0000 [2 per cell]
Zn 0.1613 0.3387 0.5000 [4 per cell]
Ga 0.1261 0.6261 0.0000 [4 per cell]


Record 5
Compound: Al2P2Pb
Source: Alexandria via LeMat-Bulk
Functional: GGA-PBE
Structure: optimized geometry

As for the formation enthalpy at 0 K: -0.071 eV per atom. Its magnetic moment is 0.00 μB per atom. For the density of states at the Fermi level, the calculation gives 5.58 states/eV per cell. The total energy comes out at -4.47 eV per atom.

a = 3.9424 Å, b = 3.9424 Å, c = 13.3449 Å
α = 90.00°, β = 90.00°, γ = 90.00°
Space group I4/mmm (No. 139)
Unique sites:
Al 0.0000 0.5000 0.2500 [4 per cell]
P 0.0000 0.0000 0.1397 [4 per cell]
Pb 0.0000 0.0000 0.5000 [2 per cell]